KTmAs PBE relaxed; total magnetic moment = 0.0 μB/f.u.; raw total energy = -11.19 eV per formula unit
1.0
4.407 -2.235 0.820
0.513 -4.911 -0.844
2.753 -1.602 -3.866
As Tm K
1 1 1
direct
0.000 0.000 0.000 As
0.750 0.750 0.750 Tm
0.250 0.250 0.250 K

KUAs PBE relaxed; total magnetic moment = 4.0 μB/f.u.; raw total energy = -15.83 eV per formula unit
1.0
2.964 -4.091 -0.858
3.191 -1.662 3.648
-0.957 -4.411 2.425
As U K
1 1 1
direct
0.000 0.000 0.000 As
0.750 0.750 0.750 U
0.250 0.250 0.250 K

KAs5W3 PBE relaxed; total magnetic moment = 0.0 μB/f.u.; raw total energy = -62.86 eV per formula unit
1.0
-5.289 1.041 0.815
1.684 -5.130 -0.757
1.110 -0.862 8.305
As K W
5 1 3
direct
0.000 0.000 0.500 As
0.333 0.667 0.247 As
0.667 0.333 0.753 As
0.667 0.333 0.247 As
0.333 0.667 0.753 As
0.000 0.000 0.000 K
0.000 0.500 0.500 W
0.500 0.000 0.500 W
0.500 0.500 0.500 W

KZnAs PBE relaxed; raw total energy = -8.44 eV per formula unit
1.0
-3.391 2.538 0.401
-0.086 -3.935 1.613
1.865 1.787 4.459
As K Zn
1 1 1
direct
0.667 0.333 0.500 As
0.000 0.000 0.000 K
0.333 0.667 0.500 Zn

KZn4As3 PBE relaxed; raw total energy = -22.45 eV per formula unit
1.0
2.102 1.214 11.663
-2.102 1.214 11.663
0.000 -2.427 11.663
As Zn K
3 4 1
direct
0.232 0.232 0.232 As
0.768 0.768 0.768 As
0.000 0.000 0.000 As
0.697 0.697 0.697 Zn
0.085 0.085 0.085 Zn
0.915 0.915 0.915 Zn
0.303 0.303 0.303 Zn
0.500 0.500 0.500 K

K3ZrAs2 PBE relaxed; total magnetic moment = 1.0 μB/f.u.; raw total energy = -24.53 eV per formula unit
1.0
4.791 -4.504 6.581
-8.950 1.304 -2.178
6.194 -5.854 -3.731
As K Zr
4 6 2
direct
0.097 0.187 0.284 As
0.597 0.313 0.910 As
0.903 0.813 0.716 As
0.403 0.687 0.090 As
0.750 0.250 0.500 K
0.809 0.201 0.010 K
0.191 0.799 0.990 K
0.250 0.750 0.500 K
0.309 0.299 0.608 K
0.691 0.701 0.392 K
0.750 0.750 0.000 Zr
0.250 0.250 0.000 Zr

LaMgAsOs PBE relaxed; total magnetic moment = 0.0 μB/f.u.; raw total energy = -22.13 eV per formula unit
1.0
0.000 3.387 3.387
3.387 0.000 3.387
3.387 3.387 0.000
As Os Mg La
1 1 1 1
direct
0.000 0.000 0.000 As
0.250 0.250 0.250 Os
0.750 0.750 0.750 Mg
0.500 0.500 0.500 La

LaMgAsOs PBE relaxed; total magnetic moment = 0.0 μB/f.u.; raw total energy = -22.37 eV per formula unit
1.0
-3.061 -3.496 -1.553
-4.550 1.169 -1.391
-1.252 -0.235 -4.730
La Mg As Os
1 1 1 1
direct
0.250 0.250 0.250 La
0.750 0.750 0.750 Mg
0.500 0.500 0.500 As
0.000 0.000 0.000 Os

LaMgAsOs PBE relaxed; total magnetic moment = 0.0 μB/f.u.; raw total energy = -22.46 eV per formula unit
1.0
-2.877 0.888 3.740
-2.482 4.106 0.199
-4.767 -0.046 -0.574
Os As Mg La
1 1 1 1
direct
0.000 0.000 0.000 Os
0.250 0.250 0.250 As
0.750 0.750 0.750 Mg
0.500 0.500 0.500 La

LaMoAs PBE relaxed; total magnetic moment = 0.0 μB/f.u.; raw total energy = -20.01 eV per formula unit
1.0
-0.104 2.922 3.526
-3.986 1.789 1.375
-1.835 -1.293 3.993
Mo As La
1 1 1
direct
0.000 0.000 0.000 Mo
0.250 0.250 0.250 As
0.750 0.750 0.750 La

LaMoAs PBE relaxed; total magnetic moment = 3.9 μB/f.u.; raw total energy = -17.68 eV per formula unit
1.0
0.605 -4.904 0.232
-3.426 -3.008 -1.919
0.986 -2.567 -4.112
Mo As La
1 1 1
direct
0.750 0.750 0.750 Mo
0.250 0.250 0.250 As
0.000 0.000 0.000 La

LaNi2AsN PBE relaxed; total magnetic moment = 0.0 μB/f.u.; raw total energy = -32.88 eV per formula unit
1.0
1.854 -5.708 0.000
1.854 5.708 0.000
0.000 0.000 6.963
La Ni As N
2 4 2 2
direct
0.962 0.038 0.250 La
0.038 0.962 0.750 La
0.332 0.668 0.553 Ni
0.668 0.332 0.447 Ni
0.332 0.668 0.947 Ni
0.668 0.332 0.053 Ni
0.232 0.768 0.250 As
0.768 0.232 0.750 As
0.500 0.500 0.000 N
0.500 0.500 0.500 N